VASP calculation (PBE) on a geometry-optimized Pr2VI structure.

Cell lengths 3.608, 3.608, 11.205 Å; angles 80.74, 80.74, 60.00 degrees
Site moments in Bohr magnetons follow the coordinates.
Fractional coordinates of all 4 atoms:
Pr 0.087 0.087 0.739  0.00
Pr 0.913 0.913 0.261  0.00
I 0.500 0.500 0.500  0.01
V 0.000 0.000 0.000  2.71

Properties
Density ... 6.1 g/cm3
Electronic total energy ... -0.3464 Ry per atom
Magnetic moment ... 0.79 μB per atom
SG ... R-3m (166)
DOS at the Fermi energy ... 4.86 states/eV/f.u.

---

VASP calculation (PBE) on a geometry-optimized NiI3Br structure.

Cell lengths 9.584, 7.627, 6.779 Å; angles 105.87, 115.97, 92.23 degrees
Site moments in Bohr magnetons follow the coordinates.
Fractional coordinates of all 10 atoms:
Br 0.154 0.245 0.596  0.10
Br 0.846 0.755 0.404  0.10
Ni 0.293 0.512 0.929  1.12
Ni 0.707 0.488 0.071  1.12
I 0.300 0.731 0.305  0.10
I 0.075 0.739 0.844  0.08
I 0.925 0.261 0.156  0.08
I 0.495 0.310 0.124  0.21
I 0.700 0.269 0.695  0.10
I 0.505 0.690 0.876  0.21

Properties
Density ... 4.1 g/cm3
Magnetic moment ... 0.37 μB per atom
SG ... P-1 (2)
DOS at the Fermi energy ... 3.26 states/eV/f.u.
Polymorph energy (0 for the lowest one) ... 0.0 kJ/mol of atoms

---

VASP calculation (PBE) on a geometry-optimized Si3SnS structure.

Cell lengths 4.693, 4.693, 4.693 Å; angles 90.00, 90.00, 90.00 degrees
Fractional coordinates of all 5 atoms:
S 0.000 0.000 0.000
Si 0.500 0.000 0.000
Si 0.000 0.000 0.500
Si 0.000 0.500 0.000
Sn 0.500 0.500 0.500

Properties
Density ... 3.8 g/cm3
Magnetic moment ... 0.00 μB per atom
SG ... Pm-3m (221)
DOS at the Fermi energy ... 1.88 states/eV/f.u.
Polymorph energy (0 for the lowest one) ... 0.0 kJ/mol of atoms

---

VASP calculation (PBE) on a geometry-optimized Mg3Ni structure.

Cell lengths 4.874, 4.874, 4.874 Å; angles 90.00, 90.00, 90.00 degrees
Fractional coordinates of all 4 atoms:
Ni 0.000 0.000 0.000
Mg 0.000 0.500 0.000
Mg 0.500 0.000 0.000
Mg 0.000 0.000 0.500

Properties
Density ... 1.9 g/cm3
Magnetic moment ... 0.00 μB per atom
Energy of formation from the pure elements ... 0.91 eV per formula unit
SG ... Pm-3m (221)
DOS at the Fermi energy ... 2.24 states/eV/f.u.